[1]
A relaxed structure of CaTlGa2Ir, computed with PBE.

Cell lengths 4.849, 4.849, 5.529 Å; angles 90.00, 90.00, 90.00 degrees
Element x y z (fractional)
1 Ca 0.000 0.000 0.000
2 Tl 0.500 0.500 0.000
3 Ga 0.000 0.500 0.500
4 Ga 0.500 0.000 0.500
5 Ir 0.000 0.000 0.500

formation energy	-1.47	eV/f.u.
spin magnetization	0.00	μB/atom


[2]
A relaxed structure of YTi2NiC, computed with PBE.

Cell lengths 4.826, 4.826, 3.657 Å; angles 90.00, 90.00, 90.00 degrees
Element x y z (fractional)
1 Y 0.000 0.000 0.000
2 Ti 0.000 0.500 0.500
3 Ti 0.500 0.000 0.500
4 Ni 0.500 0.500 0.500
5 C 0.500 0.500 0.000

formation energy	3.57	eV/f.u.
spin magnetization	0.39	μB/atom


[3]
A relaxed structure of Rh3Pb2O8, computed with PBE.

Cell lengths 6.550, 6.550, 5.338 Å; angles 107.75, 107.75, 57.67 degrees
Element x y z (fractional)
1 Rh 0.000 0.000 0.000
2 Rh 0.253 0.747 0.500
3 Rh 0.747 0.253 0.500
4 Pb 0.288 0.288 0.839
5 Pb 0.712 0.712 0.161
6 O 0.095 0.095 0.410
7 O 0.115 0.680 0.111
8 O 0.320 0.885 0.889
9 O 0.398 0.398 0.538
10 O 0.602 0.602 0.462
11 O 0.680 0.115 0.111
12 O 0.885 0.320 0.889
13 O 0.905 0.905 0.590

ΔE_f (raw)	-0.88	eV/atom
spin magnetization	0.00	μB/atom


[4]
A relaxed structure of CaNd4Dy2, computed with PBE.

Cell lengths 21.209, 21.209, 21.209 Å; angles 9.87, 9.87, 9.87 degrees
Element x y z (fractional)
1 Ca 0.000 0.000 0.000
2 Nd 0.143 0.143 0.143
3 Nd 0.282 0.282 0.282
4 Nd 0.718 0.718 0.718
5 Nd 0.857 0.857 0.857
6 Dy 0.430 0.430 0.430
7 Dy 0.570 0.570 0.570

formation energy	0.17	eV/f.u.
spin magnetization	0.00	μB/atom


[5]
A relaxed structure of BaNaPuI6, computed with PBE.

Cell lengths 8.081, 8.081, 15.205 Å; angles 90.00, 90.00, 120.00 degrees
Element x y z (fractional)
1 Ba 0.000 0.000 0.000
2 Ba 0.000 0.000 0.500
3 Na 0.333 0.667 0.250
4 Na 0.667 0.333 0.750
5 Pu 0.333 0.667 0.750
6 Pu 0.667 0.333 0.250
7 I 0.013 0.363 0.630
8 I 0.013 0.650 0.870
9 I 0.350 0.363 0.870
10 I 0.350 0.987 0.630
11 I 0.363 0.013 0.130
12 I 0.363 0.350 0.370
13 I 0.637 0.650 0.630
14 I 0.637 0.987 0.870
15 I 0.650 0.013 0.370
16 I 0.650 0.637 0.130
17 I 0.987 0.350 0.130
18 I 0.987 0.637 0.370

ΔE_f (raw)	-1.32	eV/atom
spin magnetization	0.56	μB/atom


[6]
A relaxed structure of KFeBr2, computed with PBE.

Cell lengths 5.108, 5.108, 8.174 Å; angles 90.00, 90.00, 133.73 degrees
Element x y z (fractional)
1 K 0.000 0.000 0.000
2 Fe 0.000 0.000 0.500
3 Br 0.500 0.500 0.297
4 Br 0.500 0.500 0.703

ΔE_f (raw)	-0.45	eV/atom
spin magnetization	0.77	μB/atom


[7]
A relaxed structure of Ta4Mo3, computed with PBE.

Cell lengths 7.017, 7.017, 7.017 Å; angles 118.19, 118.19, 118.19 degrees
Element x y z (fractional)
1 Ta 0.000 0.000 0.000
2 Ta 0.182 0.318 0.609
3 Ta 0.318 0.609 0.182
4 Ta 0.609 0.182 0.318
5 Mo 0.455 0.887 0.740
6 Mo 0.740 0.455 0.887
7 Mo 0.887 0.740 0.455

formation energy	-0.63	eV/f.u.
spin magnetization	0.00	μB/atom


[8]
A relaxed structure of CePr6HoTm2, computed with PBE.

Cell lengths 6.666, 6.666, 8.861 Å; angles 100.79, 100.79, 64.92 degrees
Element x y z (fractional)
1 Ce 0.000 0.000 0.000
2 Pr 0.099 0.562 0.203
3 Pr 0.130 0.130 0.422
4 Pr 0.438 0.901 0.797
5 Pr 0.562 0.099 0.203
6 Pr 0.870 0.870 0.578
7 Pr 0.901 0.438 0.797
8 Ho 0.500 0.500 0.500
9 Tm 0.407 0.407 0.839
10 Tm 0.593 0.593 0.161

formation energy	2.33	eV/f.u.
spin magnetization	0.12	μB/atom


[9]
A relaxed structure of RbLiReI6, computed with PBE.

Cell lengths 7.482, 7.482, 16.385 Å; angles 90.00, 90.00, 120.00 degrees
Element x y z (fractional)
1 Rb 0.000 0.000 0.000
2 Rb 0.000 0.000 0.500
3 Li 0.333 0.667 0.250
4 Li 0.667 0.333 0.750
5 Re 0.333 0.667 0.750
6 Re 0.667 0.333 0.250
7 I 0.022 0.380 0.653
8 I 0.022 0.642 0.847
9 I 0.358 0.380 0.847
10 I 0.358 0.978 0.653
11 I 0.380 0.022 0.153
12 I 0.380 0.358 0.347
13 I 0.620 0.642 0.653
14 I 0.620 0.978 0.847
15 I 0.642 0.022 0.347
16 I 0.642 0.620 0.153
17 I 0.978 0.358 0.153
18 I 0.978 0.620 0.347

ΔE_f (raw)	-0.54	eV/atom
spin magnetization	0.33	μB/atom


[10]
A relaxed structure of Dy4NiRh, computed with PBE.

Cell lengths 7.646, 7.646, 7.646 Å; angles 106.01, 106.01, 116.63 degrees
Element x y z (fractional)
1 Dy 0.200 0.000 0.200
2 Dy 0.244 0.542 0.297
3 Dy 0.244 0.947 0.703
4 Dy 0.292 0.494 0.797
5 Dy 0.697 0.494 0.203
6 Dy 0.750 0.050 0.300
7 Dy 0.750 0.450 0.700
8 Dy 0.800 0.000 0.800
9 Ni 0.249 0.249 0.000
10 Ni 0.999 0.499 0.500
11 Rh 0.496 0.996 0.500
12 Rh 0.746 0.746 0.000

formation energy	-2.18	eV/f.u.
spin magnetization	0.00	μB/atom


[11]
A relaxed structure of LiBiPdPt, computed with PBE.

Cell lengths 4.650, 4.650, 4.650 Å; angles 60.00, 60.00, 60.00 degrees
Element x y z (fractional)
1 Li 0.000 0.000 0.000
2 Bi 0.500 0.500 0.500
3 Pd 0.750 0.750 0.750
4 Pt 0.250 0.250 0.250

formation energy	-1.53	eV/f.u.
spin magnetization	0.00	μB/atom


[12]
A relaxed structure of Cs2SbOF5, computed with PBE.

Cell lengths 6.748, 6.748, 6.748 Å; angles 122.93, 122.93, 85.00 degrees
Element x y z (fractional)
1 Cs 0.000 0.500 0.500
2 Cs 0.500 0.000 0.500
3 Sb 0.241 0.241 0.000
4 O 0.054 0.054 0.000
5 F 0.051 0.051 0.569
6 F 0.051 0.482 0.000
7 F 0.441 0.441 0.000
8 F 0.482 0.051 0.000
9 F 0.482 0.482 0.431

ΔE_f (raw)	-2.47	eV/atom
spin magnetization	0.01	μB/atom


Number 1: raw total energy -4.1502 eV/atom. Number 2: raw total energy -6.7375 eV/atom. Number 3: raw total energy -6.2014 eV/atom. Number 4: raw total energy -4.3011 eV/atom. Number 5: raw total energy -4.3047 eV/atom. Number 6: raw total energy -3.6785 eV/atom. Number 7: raw total energy -11.5052 eV/atom. Number 8: raw total energy -4.5806 eV/atom. Number 9: raw total energy -3.2767 eV/atom. Number 10: raw total energy -5.6198 eV/atom. Number 11: raw total energy -4.6403 eV/atom. Number 12: raw total energy -4.7045 eV/atom.